Compound: Dy3PN2
Source: OQMD via LeMat-Bulk
Functional: PBE
Structure: optimized geometry

abc: 3.5961 3.5961 9.0918
angles: 90.00 90.00 120.00
Space group P-3m1 (No. 164)
Unique sites:
Dy1 0.0000 0.0000 0.0000
Dy2 0.3333 0.6667 0.6974
P1 0.0000 0.0000 0.5000
N1 0.3333 0.6667 0.1531

E_tot = -7.53 eV/atom
Volume = 16.97 A^3/atom